Record 1
The following is a DFT calculation (PBE) of YOsRh2 after structural relaxation.

## Properties
**Formation enthalpy at 0 K**: 0.05 eV per atom
**Symmetry**: Fm-3m

abc: 4.603 4.603 4.603
angles: 60.00 60.00 60.00
Site moments in Bohr magnetons follow the coordinates.
Positions (direct):
Y 0.000 0.000 0.000  0.00
Rh 0.250 0.250 0.250  0.63
Rh 0.750 0.750 0.750  0.63
Os 0.500 0.500 0.500  1.58

---

Record 2
The following is a DFT calculation (PBE) of YOs2Rh after structural relaxation.

## Properties
**Formation enthalpy at 0 K**: 0.19 eV per atom
**Symmetry**: Pmmm

abc: 3.010 4.568 4.876
angles: 90.00 90.00 90.00
Positions (direct):
Os 0.000 0.000 0.000
Os 0.500 0.500 0.000
Rh 0.500 0.000 0.500
Y 0.000 0.500 0.500

---

Record 3
The following is a DFT calculation (PBE) of YZnOs2Rh after structural relaxation.

## Properties
**Formation enthalpy at 0 K**: 0.92 eV per atom
**Symmetry**: P4/mmm

abc: 4.579 4.544 4.579
angles: 90.00 90.00 90.00
Positions (direct):
Y 0.500 0.500 0.500
Rh 0.000 0.500 0.000
Zn 0.000 0.000 0.000
Os 0.000 0.000 0.500
Os 0.500 0.000 0.000

---

Record 4
The following is a DFT calculation (PBE) of YZrOsRh after structural relaxation.

## Properties
**Formation enthalpy at 0 K**: -0.55 eV per atom
**Symmetry**: F-43m

abc: 4.745 4.745 4.745
angles: 60.00 60.00 60.00
Positions (direct):
Y 0.750 0.750 0.750
Rh 0.000 0.000 0.000
Os 0.500 0.500 0.500
Zr 0.250 0.250 0.250

---

Record 5
The following is a DFT calculation (PBE) of ZnOsRh2 after structural relaxation.

## Properties
**Formation enthalpy at 0 K**: 0.02 eV per atom
**Symmetry**: C2/m

abc: 4.670 4.670 4.723
angles: 81.74 81.74 33.69
Positions (direct):
Os 0.250 0.250 0.250
Rh 0.997 0.997 0.004
Rh 0.503 0.503 0.496
Zn 0.750 0.750 0.750

---

Record 6
The following is a DFT calculation (PBE) of ZnOsRh2 after structural relaxation.

## Properties
**Formation enthalpy at 0 K**: 0.04 eV per atom
**Symmetry**: P4mm

abc: 2.746 2.746 7.508
angles: 90.00 90.00 90.00
Positions (direct):
Os 0.500 0.500 0.755
Rh 0.000 0.000 0.993
Rh 0.500 0.500 0.255
Zn 0.000 0.000 0.497

---

Record 7
The following is a DFT calculation (PBE) of ZnOsRh2 after structural relaxation.

## Properties
**Formation enthalpy at 0 K**: 0.17 eV per atom
**Symmetry**: P4/mmm

abc: 3.715 3.912 3.912
angles: 90.00 90.00 90.00
Site moments in Bohr magnetons follow the coordinates.
Positions (direct):
Os 0.500 0.000 0.500  0.22
Rh 0.000 0.000 0.000  0.07
Rh 0.000 0.500 0.500  0.07
Zn 0.500 0.500 0.000  0.00

---

Record 8
The following is a DFT calculation (PBE) of ZnOsRh2 after structural relaxation.

## Properties
**Formation enthalpy at 0 K**: 0.13 eV per atom
**Symmetry**: Imm2

abc: 5.207 5.207 5.207
angles: 148.42 129.17 61.09
Positions (direct):
Os 0.262 0.762 0.500
Rh 0.008 0.008 0.000
Rh 0.730 0.230 0.500
Zn 0.499 0.499 0.000

---

Record 9
The following is a DFT calculation (PBE) of ZnOs2Rh2 after structural relaxation.

## Properties
**Formation enthalpy at 0 K**: 0.37 eV per atom
**Symmetry**: P4/mbm

abc: 7.534 7.534 2.742
angles: 90.00 90.00 90.00
Positions (direct):
Rh 0.175 0.675 0.500
Rh 0.675 0.825 0.500
Rh 0.825 0.325 0.500
Rh 0.325 0.175 0.500
Zn 0.000 0.000 0.000
Zn 0.500 0.500 0.000
Os 0.380 0.880 0.000
Os 0.880 0.620 0.000
Os 0.620 0.120 0.000
Os 0.120 0.380 0.000

---

Record 10
The following is a DFT calculation (PBE) of ZnOsRh2 after structural relaxation.

## Properties
**Formation enthalpy at 0 K**: 0.54 eV per atom
**Symmetry**: I-42d

abc: 3.794 3.794 9.053
angles: 77.90 77.90 90.00
Positions (direct):
Rh 0.627 0.125 0.250
Rh 0.123 0.625 0.250
Rh 0.375 0.373 0.750
Rh 0.875 0.877 0.750
Zn 0.500 0.500 0.000
Zn 0.250 0.750 0.500
Os 0.000 0.000 0.000
Os 0.750 0.250 0.500

---

Record 11
The following is a DFT calculation (PBE) of ZnOsRh2 after structural relaxation.

## Properties
**Formation enthalpy at 0 K**: -0.03 eV per atom
**Symmetry**: Pmm2

abc: 4.413 2.723 4.702
angles: 90.01 90.00 90.00
Positions (direct):
Os 0.500 0.625 0.794
Rh 0.000 0.125 0.953
Rh 0.500 0.125 0.305
Zn 0.000 0.625 0.449

---

Record 12
The following is a DFT calculation (PBE) of ZnOsRh2 after structural relaxation.

## Properties
**Formation enthalpy at 0 K**: 0.07 eV per atom
**Symmetry**: I-4m2

abc: 4.737 4.737 4.737
angles: 132.67 132.67 69.17
Positions (direct):
Os 0.750 0.250 0.500
Rh 0.000 0.000 0.000
Rh 0.250 0.750 0.500
Zn 0.500 0.500 0.000

---

Record 13
The following is a DFT calculation (PBE) of ZnOsRh2 after structural relaxation.

## Properties
**Formation enthalpy at 0 K**: -0.05 eV per atom
**Symmetry**: P2/m

abc: 3.779 2.752 6.072
angles: 63.28 90.00 90.00
Positions (direct):
Os 0.500 0.750 0.750
Rh 0.000 0.003 0.997
Rh 0.000 0.497 0.503
Zn 0.500 0.250 0.250

---

Record 14
The following is a DFT calculation (PBE) of ZnOsRh2 after structural relaxation.

## Properties
**Formation enthalpy at 0 K**: -0.04 eV per atom
**Symmetry**: Cm

abc: 4.694 4.694 4.679
angles: 80.63 80.63 33.87
Positions (direct):
Os 0.255 0.255 0.227
Rh 0.998 0.998 0.028
Rh 0.748 0.748 0.723
Zn 0.499 0.499 0.522

---

Record 15
The following is a DFT calculation (PBE) of ZnOsRh6 after structural relaxation.

## Properties
**Formation enthalpy at 0 K**: -0.07 eV per atom
**Symmetry**: P4/mmm

abc: 3.838 3.838 7.687
angles: 90.00 90.00 90.00
Positions (direct):
Zn 0.000 0.000 0.000
Os 0.000 0.000 0.500
Rh 0.500 0.500 0.000
Rh 0.500 0.500 0.500
Rh 0.500 0.000 0.255
Rh 0.500 0.000 0.745
Rh 0.000 0.500 0.255
Rh 0.000 0.500 0.745

---

Record 16
The following is a DFT calculation (PBE) of ZnOsRh2 after structural relaxation.

## Properties
**Formation enthalpy at 0 K**: -0.09 eV per atom
**Symmetry**: Cm

abc: 2.739 2.739 8.856
angles: 81.01 81.01 60.03
Positions (direct):
Zn 0.667 0.667 0.000
Os 0.500 0.500 0.500
Rh 0.083 0.083 0.749
Rh 0.250 0.250 0.250

---

Record 17
The following is a DFT calculation (PBE) of ZnOsRh2 after structural relaxation.

## Properties
**Formation enthalpy at 0 K**: 0.02 eV per atom
**Symmetry**: I4/mmm

abc: 4.667 4.667 4.667
angles: 131.17 131.16 71.55
Site moments in Bohr magnetons follow the coordinates.
Positions (direct):
Os 0.250 0.750 0.500  0.47
Rh 0.000 0.000 0.000  0.09
Rh 0.500 0.500 0.000  0.09
Zn 0.750 0.250 0.500  0.01

---

Record 18
The following is a DFT calculation (PBE) of ZnOsRh2 after structural relaxation.

## Properties
**Formation enthalpy at 0 K**: -0.06 eV per atom
**Symmetry**: R-3m

abc: 8.769 8.769 8.769
angles: 18.08 18.08 18.08
Positions (direct):
Os 0.750 0.750 0.750
Rh 0.000 0.000 0.000
Rh 0.500 0.500 0.500
Zn 0.250 0.250 0.250

---

Record 19
The following is a DFT calculation (PBE) of ZnOsRh2 after structural relaxation.

## Properties
**Formation enthalpy at 0 K**: 0.13 eV per atom
**Symmetry**: Cmmm

abc: 2.701 2.701 9.041
angles: 90.00 90.00 119.12
Positions (direct):
Os 0.500 0.500 0.750
Rh 0.000 0.000 0.005
Rh 0.000 0.000 0.495
Zn 0.500 0.500 0.250

---

Record 20
The following is a DFT calculation (PBE) of ZnOsRh2 after structural relaxation.

## Properties
**Formation enthalpy at 0 K**: 0.20 eV per atom
**Symmetry**: Cmm2

abc: 2.704 2.704 9.049
angles: 90.00 90.00 119.15
Positions (direct):
Os 0.500 0.500 0.748
Rh 0.000 0.000 0.999
Rh 0.500 0.500 0.257
Zn 0.000 0.000 0.496